# AlCuOs2O

AlCuOs2O after structural relaxation (GGA-PBE, Alexandria via LeMat-Bulk).

Values from the calculation:
The calculation puts the formation energy (no corrections) at 0.4478 eV per atom. The theoretical density is 12.52 g/cm3.

abc: 4.1068 4.1068 3.8310
angles: 90.00 90.00 90.00
Space group P4/mmm (No. 123)
Unique sites:
Al  0.0000  0.0000  0.0000
Cu  0.5000  0.5000  0.0000
Os  0.0000  0.5000  0.5000
O  0.0000  0.0000  0.5000